# ZrIrRh2, relaxed, DFT PBE
# * final energy: -8.4900 eV/atom
# * Fermi-level density of states: 4.2 states/eV/f.u.
# * DFT formation energy: -0.4620 eV/atom
data_ZrIrRh2
_chemical_formula_sum 'Zr2 Ir2 Rh4'
_cell_length_a 5.6410
_cell_length_b 7.6847
_cell_length_c 2.9093
_cell_angle_alpha 90.00
_cell_angle_beta 90.00
_cell_angle_gamma 90.00
_symmetry_space_group_name_H-M 'C m m m'
_symmetry_Int_Tables_number 65
_symmetry_space_group_name_Hall '-C 2 2'
loop_
_atom_site_label
_atom_site_fract_x
_atom_site_fract_y
_atom_site_fract_z
Zr1 0.0000 0.0000 0.0000
Ir1 0.0000 0.5000 0.0000
Rh1 0.2500 0.2500 0.5000